{"formula": "Ni2SbSe2", "functional": "PBE", "state": "optimized geometry", "raw_formation_energy_mev_per_atom": 156, "lattice": [[-2.019, 2.019, 5.426], [2.019, -2.019, 5.426], [2.019, 2.019, -5.426]], "species": ["Ni", "Ni", "Sb", "Se", "Se"], "fractional_positions": [[0.116, 0.116, 0.000], [0.884, 0.884, 0.000], [0.500, 0.500, 0.000], [0.250, 0.750, 0.500], [0.750, 0.250, 0.500]]}

=====

{"formula": "K2Zr3AgS8", "functional": "PBE", "state": "optimized geometry", "raw_formation_energy_mev_per_atom": -1261, "lattice": [[3.757, 2.169, 7.991], [-3.757, 2.169, 7.991], [0.000, -4.338, 7.991]], "species": ["K", "K", "Zr", "Zr", "Zr", "Ag", "S", "S", "S", "S", "S", "S", "S", "S"], "fractional_positions": [[0.000, 0.000, 0.000], [0.350, 0.350, 0.350], [0.354, 0.354, 0.847], [0.354, 0.847, 0.354], [0.847, 0.354, 0.354], [0.847, 0.847, 0.847], [0.085, 0.085, 0.565], [0.085, 0.565, 0.085], [0.126, 0.126, 0.126], [0.139, 0.615, 0.615], [0.565, 0.085, 0.085], [0.580, 0.580, 0.580], [0.615, 0.139, 0.615], [0.615, 0.615, 0.139]]}

=====

Number 1 is which compound?
Ni2SbSe2

=====

Please write out number 1 again, unchanged.
{"formula": "Ni2SbSe2", "functional": "PBE", "state": "optimized geometry", "raw_formation_energy_mev_per_atom": 156, "lattice": [[-2.019, 2.019, 5.426], [2.019, -2.019, 5.426], [2.019, 2.019, -5.426]], "species": ["Ni", "Ni", "Sb", "Se", "Se"], "fractional_positions": [[0.116, 0.116, 0.000], [0.884, 0.884, 0.000], [0.500, 0.500, 0.000], [0.250, 0.750, 0.500], [0.750, 0.250, 0.500]]}